The following is a PBE-GGA calculation of a geometry-optimized Na2TmIrO6 structure, from Alexandria via LeMat-Bulk.

Cell lengths 5.6061, 5.6921, 8.0095 Å; angles 90.00, 90.28, 90.00 degrees
Last column: nearest neighbours and their distance in Å.
Fractional coordinates of all 20 atoms:
Na1 0.0066 0.9654 0.2500  4 O 2.42-2.58
Na2 0.5066 0.5346 0.7500  4 O 2.42-2.58
Na3 0.9934 0.0346 0.7500  4 O 2.42-2.58
Na4 0.4934 0.4654 0.2500  4 O 2.42-2.58
Tm1 0.5000 0.0000 0.0000  6 O 2.19-2.20
Tm2 0.0000 0.5000 0.5000  6 O 2.19-2.20
Ir1 0.5000 0.0000 0.5000  6 O 1.91-1.92
Ir2 0.0000 0.5000 0.0000  6 O 1.91-1.92
O1 0.2760 0.6901 0.0395  1 Ir 1.91
O2 0.7760 0.8099 0.5395  1 Ir 1.91
O3 0.7240 0.3099 0.9605  1 Ir 1.91
O4 0.2240 0.1901 0.4605  1 Ir 1.91
O5 0.3139 0.7242 0.4571  1 Ir 1.92
O6 0.8139 0.7758 0.9571  1 Ir 1.92
O7 0.6861 0.2758 0.5429  1 Ir 1.92
O8 0.1861 0.2242 0.0429  1 Ir 1.92
O9 0.9210 0.5208 0.2319  1 Ir 1.92
O10 0.4210 0.9792 0.7319  1 Ir 1.92
O11 0.0790 0.4792 0.7681  1 Ir 1.92
O12 0.5790 0.0208 0.2681  1 Ir 1.92

magnetic moment	0.00	μB/atom
N(E_F)	11.28	states/eV/cell
ΔE_f (raw)	-1691	meV/atom
space group	P2_1/c (14)
DFT total energy	-125.260	eV for the cell shown